A | Here is a geometry-optimized GaBiCl2 structure from the Alexandria database. Energies are from PBE-GGA.

abc: 3.4789 3.4789 30.1421
angles: 90.00 90.00 120.00
Space group R-3m (No. 166, hexagonal axes)
Inequivalent atoms, fractional coordinates:
Ga 0.0000 0.0000 0.0000
Bi 0.0000 0.0000 0.5000
Cl 0.0000 0.0000 0.0906

Mass density ... 5.51 Mg/m³
Spin magnetization ... 0.00 μB/f.u.
Volume ... 26.327 Å³/atom

***

B | Here is a geometry-optimized GaBiCl2 structure from the Alexandria database. Energies are from PBE-GGA.

abc: 8.190 8.190 6.619
angles: 90.00 90.00 90.00
Space group I-42d (No. 122)
Inequivalent atoms, fractional coordinates:
Ga 0.000 0.000 0.000
Bi 0.000 0.000 0.500
Cl 0.229 0.750 0.625

Mass density ... 5.23 Mg/m³
Spin magnetization ... 0.00 μB/f.u.
Volume ... 27.748 Å³/atom

***

Relative energy table, unit kJ/mol of atoms: A 0.0; B 1.3